Computed, not measured: a relaxed structure of HoHfAu2 at the PBE-GGA level of DFT.

extended XYZ file:
```
4
Lattice="-1.213 0.342 3.200 2.815 -1.544 1.232 3.265 6.395 0.554" Properties=species:S:1:pos:R:3 pbc="T T T"
Au 2.536 4.967 0.430
Au 0.729 1.429 0.124
Hf 0.801 -0.601 2.216
Ho 2.434 2.596 2.493
```

Values from the calculation:
E = -0.4328 Ry per atom
Theoretical density = 14.37 g/cm³
ΔE to the lowest computed polymorph = 0 meV per atom
Calculated volume = 85.2 Å³ per cell
Symmetry = No. 123


Computed, not measured: a relaxed structure of Ho2HfAu at the PBE-GGA level of DFT.

extended XYZ file:
```
4
Lattice="-2.048 -2.041 1.823 2.194 -2.585 -0.430 4.031 2.250 7.047" Properties=species:S:1:pos:R:3 pbc="T T T"
Ho 3.104 1.732 5.426
Ho 0.927 0.518 1.621
Hf 2.089 -1.188 4.220
Au 0.073 -2.313 0.697
```

Values from the calculation:
E = -0.4369 Ry per atom
Theoretical density = 11.90 g/cm³
Calculated volume = 98.4 Å³ per cell
Symmetry = No. 123


Please write out number 2 again, unchanged.
Computed, not measured: a relaxed structure of Ho2HfAu at the PBE-GGA level of DFT.

extended XYZ file:
```
4
Lattice="-2.048 -2.041 1.823 2.194 -2.585 -0.430 4.031 2.250 7.047" Properties=species:S:1:pos:R:3 pbc="T T T"
Ho 3.104 1.732 5.426
Ho 0.927 0.518 1.621
Hf 2.089 -1.188 4.220
Au 0.073 -2.313 0.697
```

Values from the calculation:
E = -0.4369 Ry per atom
Theoretical density = 11.90 g/cm³
Calculated volume = 98.4 Å³ per cell
Symmetry = No. 123


> What is the formula in the second record?

Ho2HfAu


> Which value of calculated volume does entry 1 give?

85.2 Å³ per cell